Here is a relaxed structure of K3NiAg2F8 from the Alexandria database. Energies are from GGA+U.

Its electronic total energy is -54.360 eV/cell.

It has space group P-3m1 (No. 164), with a = 5.8137 Å, b = 5.8137 Å, c = 8.2506 Å, α = 90.00°, β = 90.00° and γ = 120.00°. The distinct sites, in fractional coordinates, are K at (0.0000, 0.0000, 0.0000), K at (0.3333, 0.6667, 0.6184), Ni at (0.0000, 0.0000, 0.5000), Ag at (0.3333, 0.6667, 0.1828), F at (0.1585, 0.3170, 0.3574) and F at (0.3333, 0.6667, 0.9256).